# FeCBrF2

FeCBrF2 after structural relaxation (PBE+U, Alexandria).

Final energy in eV/atom: -2.81
ρ in g/cm³: 3.337

a b c (Å): 4.3911 4.7946 4.3911
angles (deg): 90.00 90.00 90.00
Positions (direct):
C1 0.5000 0.5000 0.5000
Fe1 0.0000 0.5000 0.0000
Br1 0.0000 0.0000 0.0000
F1 0.0000 0.0000 0.5000
F2 0.5000 0.0000 0.0000